VASP calculation (PBE) on a geometry-optimized BaCa2CoCl8 structure.

- energy relative to the elements, uncorrected (meV per atom) = -1890
- uncorrected energy (eV/f.u.) = -50.5
- ρ (g/cm³) = 2.679

a b c (Å): 6.303 8.481 6.497
angles (deg): 90.00 91.62 90.00
Positions (direct):
Ba (0.000, 0.000, 0.000)
Ca (0.500, 0.269, 0.500)
Ca (0.500, 0.731, 0.500)
Co (0.000, 0.500, 0.000)
Cl (0.218, 0.297, 0.167)
Cl (0.218, 0.703, 0.167)
Cl (0.261, 0.500, 0.689)
Cl (0.286, 0.000, 0.634)
Cl (0.714, 0.000, 0.366)
Cl (0.739, 0.500, 0.311)
Cl (0.782, 0.297, 0.833)
Cl (0.782, 0.703, 0.833)

VASP calculation (PBE) on a geometry-optimized Ba2CaCoCl structure.

- energy relative to the elements, uncorrected (meV per atom) = 258
- uncorrected energy (eV/f.u.) = -13.5
- ρ (g/cm³) = 3.282

a b c (Å): 6.766 6.766 4.522
angles (deg): 90.00 90.00 90.00
Positions (direct):
Ba (0.000, 0.500, 0.000)
Ba (0.500, 0.000, 0.000)
Ca (0.000, 0.000, 0.000)
Co (0.000, 0.000, 0.500)
Cl (0.500, 0.500, 0.500)

VASP calculation (PBE) on a geometry-optimized BaCa2CrCl8 structure.

- energy relative to the elements, uncorrected (meV per atom) = -2011
- uncorrected energy (eV/f.u.) = -54.5
- ρ (g/cm³) = 2.539

a b c (Å): 6.452 8.427 6.663
angles (deg): 90.00 93.29 90.00
Positions (direct):
Ba (0.000, 0.000, 0.000)
Ca (0.500, 0.269, 0.500)
Ca (0.500, 0.731, 0.500)
Cr (0.000, 0.500, 0.000)
Cl (0.217, 0.298, 0.163)
Cl (0.217, 0.702, 0.163)
Cl (0.278, 0.500, 0.669)
Cl (0.300, 0.000, 0.653)
Cl (0.700, 0.000, 0.347)
Cl (0.722, 0.500, 0.331)
Cl (0.783, 0.298, 0.837)
Cl (0.783, 0.702, 0.837)

VASP calculation (PBE) on a geometry-optimized CsBaCa2Cl structure.

- energy relative to the elements, uncorrected (meV per atom) = -181
- uncorrected energy (eV/f.u.) = -9.5
- ρ (g/cm³) = 1.832

a b c (Å): 7.718 7.718 5.871
angles (deg): 90.00 90.00 90.00
Positions (direct):
Cs (0.000, 0.000, 0.000)
Ba (0.500, 0.500, 0.500)
Ca (0.000, 0.500, 0.500)
Ca (0.500, 0.000, 0.500)
Cl (0.500, 0.500, 0.000)

VASP calculation (PBE) on a geometry-optimized Cs2BaCaCl6 structure.

- energy relative to the elements, uncorrected (meV per atom) = -2270
- uncorrected energy (eV/f.u.) = -39.4
- ρ (g/cm³) = 2.867

a b c (Å): 8.130 8.130 8.130
angles (deg): 60.00 60.00 60.00
Positions (direct):
Cs (0.250, 0.250, 0.250)
Cs (0.750, 0.750, 0.750)
Ba (0.000, 0.000, 0.000)
Ca (0.500, 0.500, 0.500)
Cl (0.263, 0.263, 0.737)
Cl (0.263, 0.737, 0.263)
Cl (0.263, 0.737, 0.737)
Cl (0.737, 0.263, 0.263)
Cl (0.737, 0.263, 0.737)
Cl (0.737, 0.737, 0.263)

VASP calculation (PBE) on a geometry-optimized Cs2BaCaCl6 structure.

- energy relative to the elements, uncorrected (meV per atom) = -2272
- uncorrected energy (eV/f.u.) = -39.4
- ρ (g/cm³) = 2.850

a b c (Å): 7.988 11.471 8.342
angles (deg): 90.00 90.00 90.00
Positions (direct):
Cs (0.250, 0.021, 0.211)
Cs (0.250, 0.479, 0.211)
Cs (0.750, 0.521, 0.789)
Cs (0.750, 0.979, 0.789)
Ba (0.250, 0.250, 0.724)
Ba (0.750, 0.750, 0.276)
Ca (0.250, 0.750, 0.770)
Ca (0.750, 0.250, 0.230)
Cl (0.001, 0.250, 0.451)
Cl (0.012, 0.750, 0.010)
Cl (0.250, 0.511, 0.778)
Cl (0.250, 0.989, 0.778)
Cl (0.488, 0.750, 0.010)
Cl (0.499, 0.250, 0.451)
Cl (0.501, 0.750, 0.549)
Cl (0.512, 0.250, 0.990)
Cl (0.750, 0.011, 0.222)
Cl (0.750, 0.489, 0.222)
Cl (0.988, 0.250, 0.990)
Cl (0.999, 0.750, 0.549)

VASP calculation (PBE) on a geometry-optimized BaCaCu2Cl8 structure.

- energy relative to the elements, uncorrected (meV per atom) = -1373
- uncorrected energy (eV/f.u.) = -43.4
- ρ (g/cm³) = 2.959

a b c (Å): 6.479 6.479 9.077
angles (deg): 90.00 90.00 120.00
Positions (direct):
Ba (0.000, 0.000, 0.000)
Ca (0.000, 0.000, 0.500)
Cu (0.333, 0.667, 0.750)
Cu (0.667, 0.333, 0.250)
Cl (0.001, 0.685, 0.299)
Cl (0.315, 0.316, 0.299)
Cl (0.316, 0.001, 0.701)
Cl (0.333, 0.667, 0.996)
Cl (0.667, 0.333, 0.004)
Cl (0.684, 0.999, 0.299)
Cl (0.685, 0.684, 0.701)
Cl (0.999, 0.315, 0.701)

VASP calculation (PBE) on a geometry-optimized BaCa2CuCl8 structure.

- energy relative to the elements, uncorrected (meV per atom) = -1875
- uncorrected energy (eV/f.u.) = -47.3
- ρ (g/cm³) = 2.630

a b c (Å): 6.413 8.382 6.646
angles (deg): 90.00 93.67 90.00
Positions (direct):
Ba (0.000, 0.000, 0.000)
Ca (0.500, 0.272, 0.500)
Ca (0.500, 0.728, 0.500)
Cu (0.000, 0.500, 0.000)
Cl (0.213, 0.303, 0.158)
Cl (0.213, 0.697, 0.158)
Cl (0.275, 0.500, 0.668)
Cl (0.303, 0.000, 0.655)
Cl (0.697, 0.000, 0.345)
Cl (0.725, 0.500, 0.332)
Cl (0.787, 0.303, 0.842)
Cl (0.787, 0.697, 0.842)

VASP calculation (PBE) on a geometry-optimized BaCaFe2Cl8 structure.

- energy relative to the elements, uncorrected (meV per atom) = -1507
- uncorrected energy (eV/f.u.) = -53.7
- ρ (g/cm³) = 2.790

a b c (Å): 6.503 6.503 9.306
angles (deg): 90.00 90.00 120.00
Positions (direct):
Ba (0.000, 0.000, 0.000)
Ca (0.000, 0.000, 0.500)
Fe (0.333, 0.667, 0.757)
Fe (0.667, 0.333, 0.243)
Cl (0.002, 0.314, 0.697)
Cl (0.312, 0.998, 0.697)
Cl (0.314, 0.312, 0.303)
Cl (0.333, 0.667, 0.001)
Cl (0.667, 0.333, 0.999)
Cl (0.686, 0.688, 0.697)
Cl (0.688, 0.002, 0.303)
Cl (0.998, 0.686, 0.303)

VASP calculation (PBE) on a geometry-optimized BaCaGa2Cl structure.

- energy relative to the elements, uncorrected (meV per atom) = -295
- uncorrected energy (eV/f.u.) = -13.3
- ρ (g/cm³) = 3.351

a b c (Å): 5.526 5.526 5.718
angles (deg): 90.00 90.00 90.00
Positions (direct):
Ba (0.000, 0.000, 0.000)
Ca (0.500, 0.500, 0.000)
Ga (0.000, 0.500, 0.500)
Ga (0.500, 0.000, 0.500)
Cl (0.000, 0.000, 0.500)

VASP calculation (PBE) on a geometry-optimized BaCaH2Cl structure.

- uncorrected energy (eV/f.u.) = -16.9
- ρ (g/cm³) = 3.279

a b c (Å): 4.480 4.480 5.422
angles (deg): 90.00 90.00 90.00
Positions (direct):
Ba (0.000, 0.000, 0.000)
Ca (0.500, 0.500, 0.500)
H (0.000, 0.500, 0.500)
H (0.500, 0.000, 0.500)
Cl (0.500, 0.500, 0.000)

VASP calculation (PBE) on a geometry-optimized BaCaHfCl2 structure.

- energy relative to the elements, uncorrected (meV per atom) = -17
- uncorrected energy (eV/f.u.) = -17.7
- ρ (g/cm³) = 2.086

a b c (Å): 5.699 5.699 10.461
angles (deg): 90.00 90.00 90.00
Positions (direct):
Ba (0.000, 0.000, 0.000)
Ca (0.000, 0.000, 0.500)
Hf (0.500, 0.500, 0.500)
Cl (0.000, 0.500, 0.000)
Cl (0.500, 0.000, 0.000)

VASP calculation (PBE) on a geometry-optimized BaCa2HgCl8 structure.

- energy relative to the elements, uncorrected (meV per atom) = -1928
- uncorrected energy (eV/f.u.) = -44.1
- ρ (g/cm³) = 3.130

a b c (Å): 6.493 8.570 6.690
angles (deg): 90.00 91.10 90.00
Positions (direct):
Ba (0.000, 0.000, 0.000)
Ca (0.500, 0.262, 0.500)
Ca (0.500, 0.738, 0.500)
Hg (0.000, 0.500, 0.000)
Cl (0.242, 0.279, 0.164)
Cl (0.242, 0.721, 0.164)
Cl (0.269, 0.500, 0.661)
Cl (0.286, 0.000, 0.639)
Cl (0.714, 0.000, 0.361)
Cl (0.731, 0.500, 0.339)
Cl (0.758, 0.279, 0.836)
Cl (0.758, 0.721, 0.836)

VASP calculation (PBE) on a geometry-optimized K2BaCaCl6 structure.

- energy relative to the elements, uncorrected (meV per atom) = -2253
- uncorrected energy (eV/f.u.) = -39.7
- ρ (g/cm³) = 2.357

a b c (Å): 7.614 7.984 13.175
angles (deg): 90.00 124.53 90.00
Positions (direct):
K (0.223, 0.069, 0.249)
K (0.223, 0.431, 0.749)
K (0.777, 0.569, 0.251)
K (0.777, 0.931, 0.751)
Ba (0.500, 0.000, 0.000)
Ba (0.500, 0.500, 0.500)
Ca (0.000, 0.000, 0.500)
Ca (0.000, 0.500, 0.000)
Cl (0.109, 0.214, 0.927)
Cl (0.109, 0.286, 0.427)
Cl (0.220, 0.689, 0.933)
Cl (0.220, 0.811, 0.433)
Cl (0.365, 0.056, 0.733)
Cl (0.365, 0.444, 0.233)
Cl (0.635, 0.556, 0.767)
Cl (0.635, 0.944, 0.267)
Cl (0.780, 0.189, 0.567)
Cl (0.780, 0.311, 0.067)
Cl (0.891, 0.714, 0.573)
Cl (0.891, 0.786, 0.073)

VASP calculation (PBE) on a geometry-optimized KBa2CaCl structure.

- energy relative to the elements, uncorrected (meV per atom) = -608
- uncorrected energy (eV/f.u.) = -11.8
- ρ (g/cm³) = 2.547

a b c (Å): 6.430 6.430 6.138
angles (deg): 90.00 90.00 90.00
Positions (direct):
K (0.000, 0.000, 0.000)
Ba (0.000, 0.500, 0.500)
Ba (0.500, 0.000, 0.500)
Ca (0.500, 0.500, 0.000)
Cl (0.000, 0.000, 0.500)

VASP calculation (PBE) on a geometry-optimized K2BaCaCl structure.

- energy relative to the elements, uncorrected (meV per atom) = -597
- uncorrected energy (eV/f.u.) = -10.9
- ρ (g/cm³) = 1.898

a b c (Å): 6.305 6.305 6.407
angles (deg): 90.00 90.00 90.00
Positions (direct):
K (0.000, 0.500, 0.000)
K (0.500, 0.000, 0.000)
Ba (0.000, 0.000, 0.500)
Ca (0.500, 0.500, 0.500)
Cl (0.000, 0.000, 0.000)

VASP calculation (PBE) on a geometry-optimized Ba2LiCaCl structure.

- energy relative to the elements, uncorrected (meV per atom) = -602
- uncorrected energy (eV/f.u.) = -12.6
- ρ (g/cm³) = 2.826

a b c (Å): 6.557 6.557 4.881
angles (deg): 90.00 90.00 90.00
Positions (direct):
Ba (0.000, 0.500, 0.000)
Ba (0.500, 0.000, 0.000)
Li (0.000, 0.000, 0.500)
Ca (0.500, 0.500, 0.500)
Cl (0.000, 0.000, 0.000)

VASP calculation (PBE) on a geometry-optimized Ba2CaMgCl structure.

- energy relative to the elements, uncorrected (meV per atom) = -125
- ΔE to the lowest computed polymorph (meV per atom) = 469
- uncorrected energy (eV/f.u.) = -9.9
- ρ (g/cm³) = 2.384

a b c (Å): 7.218 7.218 5.007
angles (deg): 90.00 90.00 90.00
Positions (direct):
Ba (0.000, 0.500, 0.000)
Ba (0.500, 0.000, 0.000)
Ca (0.000, 0.000, 0.500)
Mg (0.500, 0.500, 0.000)
Cl (0.500, 0.500, 0.500)

VASP calculation (PBE) on a geometry-optimized Ba2CaMgCl structure.

- energy relative to the elements, uncorrected (meV per atom) = -594
- ΔE to the lowest computed polymorph (meV per atom) = 0
- uncorrected energy (eV/f.u.) = -12.3
- ρ (g/cm³) = 2.950

a b c (Å): 6.288 6.288 5.331
angles (deg): 90.00 90.00 90.00
Positions (direct):
Ba (0.000, 0.500, 0.000)
Ba (0.500, 0.000, 0.000)
Ca (0.000, 0.000, 0.500)
Mg (0.500, 0.500, 0.500)
Cl (0.000, 0.000, 0.000)

VASP calculation (PBE) on a geometry-optimized BaCaMn2Cl structure.

- energy relative to the elements, uncorrected (meV per atom) = 389
- uncorrected energy (eV/f.u.) = -22.2
- ρ (g/cm³) = 3.735

a b c (Å): 4.985 4.985 5.774
angles (deg): 90.00 90.00 90.00
Positions (direct):
Ba (0.000, 0.000, 0.000)
Ca (0.500, 0.500, 0.000)
Mn (0.000, 0.500, 0.500)
Mn (0.500, 0.000, 0.500)
Cl (0.000, 0.000, 0.500)